Computed, not measured: a geometry-optimized CeZnIr structure at the PBE level of DFT.

Geometry as POSCAR:
```
CeZnIr
1.0
-1.6823 -1.9364 -1.8441
-0.0578 -2.1519 2.3122
-3.9685 4.3336 1.7758
Zn Ir Ce
1 1 1
Direct
0.3060 0.3060 0.6120 Zn
0.6803 0.6803 0.3607 Ir
0.0137 0.0137 0.0273 Ce
```

Output
- SG = I4mm (107)
- calculated total energy (eV per cell) = -17.2
- E_form (eV per atom) = -0.383
- total magnetization (μB/atom) = 0.14